(1)
A relaxed RbAsH2IrSe crystal, computed with PBE.

The structure in CIF format:
```
data_RbAsH2IrSe
_chemical_formula_sum 'Rb1 As1 H2 Ir1 Se1'
_space_group_name_H-M_alt 'P 1'
_space_group_IT_number 1
_cell_length_a 4.021
_cell_length_b 6.578
_cell_length_c 6.610
_cell_angle_alpha 119.54
_cell_angle_beta 92.64
_cell_angle_gamma 102.88
loop_
_space_group_symop_operation_xyz
'x,y,z'
loop_
_atom_site_label
_atom_site_fract_x
_atom_site_fract_y
_atom_site_fract_z
_atom_site_occupancy
Rb1 0.000 0.000 0.000 1
As1 0.631 0.202 0.569 1
H1 0.029 0.709 0.457 1
H2 0.248 0.450 0.950 1
Ir1 0.213 0.411 0.687 1
Se1 0.349 0.633 0.473 1
```



(2)
A relaxed RbAsH2IrSe crystal, computed with PBE.

The structure in CIF format:
```
data_RbAsH2IrSe
_chemical_formula_sum 'Rb1 As1 H2 Ir1 Se1'
_space_group_name_H-M_alt 'P 1'
_space_group_IT_number 1
_cell_length_a 3.935
_cell_length_b 4.814
_cell_length_c 7.164
_cell_angle_alpha 77.03
_cell_angle_beta 74.12
_cell_angle_gamma 65.88
loop_
_space_group_symop_operation_xyz
'x,y,z'
loop_
_atom_site_label
_atom_site_fract_x
_atom_site_fract_y
_atom_site_fract_z
_atom_site_occupancy
Rb1 0.000 0.000 0.000 1
As1 0.167 0.330 0.337 1
H1 0.348 0.933 0.367 1
H2 0.625 0.150 0.597 1
Ir1 0.504 0.506 0.490 1
Se1 0.823 0.662 0.694 1
```



(3)
A relaxed RbAsH2IrSe crystal, computed with PBE.

The structure in CIF format:
```
data_RbAsH2IrSe
_chemical_formula_sum 'Rb1 As1 H2 Ir1 Se1'
_space_group_name_H-M_alt 'P 1'
_space_group_IT_number 1
_cell_length_a 4.888
_cell_length_b 3.913
_cell_length_c 6.950
_cell_angle_alpha 90.00
_cell_angle_beta 107.69
_cell_angle_gamma 90.00
loop_
_space_group_symop_operation_xyz
'x,y,z'
loop_
_atom_site_label
_atom_site_fract_x
_atom_site_fract_y
_atom_site_fract_z
_atom_site_occupancy
Rb1 0.000 0.000 0.000 1
As1 0.668 0.000 0.411 1
H1 0.050 0.500 0.272 1
H2 0.928 0.500 0.721 1
Ir1 0.971 0.500 0.492 1
Se1 0.330 0.000 0.615 1
```



no.,uncorrected energy (eV/cell)
1,-25.6
2,-26.0
3,-26.4